[1]
Entry from Alexandria: Sr2Zn4AgAu3 after structural relaxation (PBE).

a = 4.5590 Å, b = 4.5590 Å, c = 10.6199 Å
α = 90.00°, β = 90.00°, γ = 90.00°
Element x y z (fractional)
Ag (0.5000, 0.5000, 0.5000)
Zn (0.0000, 0.5000, 0.3731)
Zn (0.0000, 0.0000, 0.0000)
Zn (0.5000, 0.5000, 0.0000)
Zn (0.5000, 0.0000, 0.6269)
Au (0.0000, 0.5000, 0.1298)
Au (0.5000, 0.0000, 0.8702)
Au (0.0000, 0.0000, 0.5000)
Sr (0.0000, 0.5000, 0.7496)
Sr (0.5000, 0.0000, 0.2504)

The value obtained for the density is 8.5 g/cm³. The space group is P-4m2, No. 115. As for the total magnetization: 0.0 μB per formula unit.

---

[2]
Entry from Alexandria: Sr2ZnAg6Au after structural relaxation (PBE).

a = 5.5033 Å, b = 9.4207 Å, c = 7.0847 Å
α = 50.54°, β = 67.14°, γ = 89.99°
Element x y z (fractional)
Au (0.5000, 0.5000, 0.0000)
Zn (0.0000, 0.0000, 0.0000)
Ag (0.2498, 0.0856, 0.5005)
Ag (0.7502, 0.9144, 0.4995)
Ag (0.7484, 0.7607, 0.0019)
Ag (0.2516, 0.2393, 0.9981)
Ag (0.7504, 0.2394, 0.9980)
Ag (0.2496, 0.7606, 0.0020)
Sr (0.7687, 0.3040, 0.4625)
Sr (0.2313, 0.6960, 0.5375)

The value obtained for the density is 7.4 g/cm³. The space group is C2/m, No. 12. As for the total magnetization: 0.0 μB per formula unit.

---

| no. | DFT total energy (eV per formula unit) | energy relative to the elements (eV per atom) |
| --- | --- | --- |
| 1 | -25.701 | -0.456 |
| 2 | -26.811 | -0.179 |